No. 1
First-principles (PBE-GGA) data for LiPuSe after structural relaxation, as listed in the Alexandria database.

Summary:
Energy relative to the elements, uncorrected, eV/atom: -0.813
Size of the total moment, μB per atom: 1.85
Calculated density, Mg/m³: 8.44
Symmetry: Cmme (67)

abc: 15.355 5.810 4.113
angles: 134.93 90.00 90.00
Sites, in units of the cell vectors:
1 Pu 0.000 0.750 0.500
2 Pu 0.000 0.250 0.500
3 Pu 0.500 0.250 0.500
4 Pu 0.500 0.750 0.500
5 Se 0.853 0.750 0.000
6 Se 0.353 0.750 0.000
7 Se 0.147 0.250 0.000
8 Se 0.647 0.250 0.000
9 Li 0.684 0.750 0.000
10 Li 0.816 0.250 0.000
11 Li 0.184 0.750 0.000
12 Li 0.316 0.250 0.000

***

No. 2
First-principles (PBE-GGA) data for Sc2CoCuH after structural relaxation, as listed in the Alexandria database.

Summary:
Final energy, Ha/atom: -0.21305
Size of the total moment, μB per atom: 0.00
Calculated density, Mg/m³: 5.24
Symmetry: P4/mmm (123)

abc: 4.537 4.537 3.284
angles: 90.00 90.00 90.00
Sites, in units of the cell vectors:
1 Sc 0.000 0.500 0.000
2 Sc 0.500 0.000 0.000
3 H 0.000 0.000 0.000
4 Co 0.000 0.000 0.500
5 Cu 0.500 0.500 0.500